Entry 1:
ScGa2SiPt | PBE | relaxed

The structure in CIF format:
```
data_ScGa2SiPt
_cell_length_a 5.1674
_cell_length_b 5.1674
_cell_length_c 4.7772
_cell_angle_alpha 90.00
_cell_angle_beta 90.00
_cell_angle_gamma 90.00
_space_group_name_H-M_alt 'P 4/m m m'
_space_group_IT_number 123
_space_group_name_Hall '-P 4 2'
loop_
_atom_site_label
_atom_site_fract_x
_atom_site_fract_y
_atom_site_fract_z
Sc1 0.0000 0.0000 0.0000
Ga1 0.0000 0.5000 0.0000
Si1 0.5000 0.5000 0.5000
Pt1 0.0000 0.0000 0.5000
```

- D(E_F): 3.875 states/eV/f.u.
- Total DFT energy (no corrections): -3.977 eV per atom

---

Entry 2:
Pr3NdPd8 | PBE | relaxed

The structure in CIF format:
```
data_Pr3NdPd8
_cell_length_a 5.5452
_cell_length_b 5.5452
_cell_length_c 27.2025
_cell_angle_alpha 90.00
_cell_angle_beta 90.00
_cell_angle_gamma 120.00
_space_group_name_H-M_alt 'R 3 m'
_space_group_IT_number 160
_space_group_name_Hall 'R 3 -2"'
loop_
_atom_site_label
_atom_site_fract_x
_atom_site_fract_y
_atom_site_fract_z
Pr1 0.0000 0.0000 0.0000
Pr2 0.0000 0.0000 0.1251
Pr3 0.0000 0.0000 0.6247
Nd1 0.0000 0.0000 0.4998
Pd1 0.0000 0.0000 0.3124
Pd2 0.0000 0.0000 0.8125
Pd3 0.0003 0.5001 0.0626
Pd4 0.9999 0.5000 0.5622
```

- D(E_F): 3.294 states/eV/f.u.
- DFT formation energy: -748.4 meV per atom
- Total DFT energy (no corrections): -5.802 eV per atom

---

Entry 3:
Tc2AsAu | PBE | relaxed

The structure in CIF format:
```
data_Tc2AsAu
_cell_length_a 2.9629
_cell_length_b 3.7694
_cell_length_c 5.8525
_cell_angle_alpha 90.00
_cell_angle_beta 90.00
_cell_angle_gamma 90.00
_space_group_name_H-M_alt 'P m m 2'
_space_group_IT_number 25
loop_
_space_group_symop_operation_xyz
'x,y,z'
'-x,-y,z'
'-x,y,z'
'x,-y,z'
loop_
_atom_site_label
_atom_site_fract_x
_atom_site_fract_y
_atom_site_fract_z
Tc1 0.0000 0.0000 0.0000
Tc2 0.5000 0.5000 0.1958
As1 0.0000 0.0000 0.4247
Au1 0.5000 0.5000 0.7252
```

- D(E_F): 2.604 states/eV/f.u.
- DFT formation energy: 221.4 meV per atom
- Total DFT energy (no corrections): -6.943 eV per atom

---

Entry 4:
CaHgMo2 | PBE | relaxed

The structure in CIF format:
```
data_CaHgMo2
_cell_length_a 6.7483
_cell_length_b 6.7483
_cell_length_c 6.7483
_cell_angle_alpha 90.00
_cell_angle_beta 90.00
_cell_angle_gamma 90.00
_space_group_name_H-M_alt 'F -4 3 m'
_space_group_IT_number 216
_space_group_name_Hall 'F -4 2 3'
loop_
_atom_site_label
_atom_site_fract_x
_atom_site_fract_y
_atom_site_fract_z
Ca1 0.0000 0.0000 0.0000
Hg1 0.2500 0.2500 0.2500
Mo1 0.0000 0.0000 0.5000
Mo2 0.2500 0.2500 0.7500
```

- D(E_F): 4.857 states/eV/f.u.
- DFT formation energy: 594.4 meV per atom
- Total DFT energy (no corrections): -5.397 eV per atom

---

Entry 5:
SiAg2Sn2 | PBE | relaxed

The structure in CIF format:
```
data_SiAg2Sn2
_cell_length_a 8.5448
_cell_length_b 8.5448
_cell_length_c 3.0618
_cell_angle_alpha 90.00
_cell_angle_beta 90.00
_cell_angle_gamma 90.00
_space_group_name_H-M_alt 'P 4/m b m'
_space_group_IT_number 127
_space_group_name_Hall '-P 4 2ab'
loop_
_atom_site_label
_atom_site_fract_x
_atom_site_fract_y
_atom_site_fract_z
Si1 0.0000 0.0000 0.0000
Ag1 0.1154 0.3846 0.5000
Sn1 0.1838 0.6838 0.0000
```

- D(E_F): 2.184 states/eV/f.u.
- Relative energy among the computed polymorphs: 62.4 meV/atom
- Total DFT energy (no corrections): -3.479 eV per atom

---

Entry 6:
NaPr2DyTe4 | PBE | relaxed

The structure in CIF format:
```
data_NaPr2DyTe4
_cell_length_a 7.7707
_cell_length_b 4.4528
_cell_length_c 7.7905
_cell_angle_alpha 90.00
_cell_angle_beta 108.97
_cell_angle_gamma 90.00
_space_group_name_H-M_alt 'P 1 2/m 1'
_space_group_IT_number 10
loop_
_space_group_symop_operation_xyz
'x,y,z'
'-x,-y,-z'
'-x,y,-z'
'x,-y,z'
loop_
_atom_site_label
_atom_site_fract_x
_atom_site_fract_y
_atom_site_fract_z
Na1 0.0000 0.0000 0.0000
Pr1 0.0000 0.5000 0.5000
Pr2 0.5000 0.0000 0.5000
Dy1 0.5000 0.5000 0.0000
Te1 0.2505 0.5000 0.2409
Te2 0.2558 0.0000 0.7630
```

- D(E_F): 3.315 states/eV/f.u.
- Total DFT energy (no corrections): -4.866 eV per atom

---

Entry 7:
TlRu2RhO8 | PBE | relaxed

The structure in CIF format:
```
data_TlRu2RhO8
_cell_length_a 5.1367
_cell_length_b 5.1367
_cell_length_c 8.8245
_cell_angle_alpha 90.00
_cell_angle_beta 90.00
_cell_angle_gamma 120.00
_space_group_name_H-M_alt 'P -3'
_space_group_IT_number 147
loop_
_space_group_symop_operation_xyz
'x,y,z'
'-x,-y,-z'
'-y,x-y,z'
'y,-x+y,-z'
'-x+y,-x,z'
'x-y,x,-z'
loop_
_atom_site_label
_atom_site_fract_x
_atom_site_fract_y
_atom_site_fract_z
Tl1 0.0000 0.0000 0.0000
Ru1 0.3333 0.6667 0.7105
Rh1 0.0000 0.0000 0.5000
O1 0.0189 0.3299 0.6328
O2 0.3333 0.6667 0.9100
```

- D(E_F): 7.698 states/eV/f.u.
- Total DFT energy (no corrections): -6.391 eV per atom

---

Entry 8:
Li2Rh6N | PBE | relaxed

The structure in CIF format:
```
data_Li2Rh6N
_cell_length_a 5.5149
_cell_length_b 5.5149
_cell_length_c 7.8474
_cell_angle_alpha 90.00
_cell_angle_beta 90.00
_cell_angle_gamma 90.00
_space_group_name_H-M_alt 'I 4/m m m'
_space_group_IT_number 139
_space_group_name_Hall '-I 4 2'
loop_
_atom_site_label
_atom_site_fract_x
_atom_site_fract_y
_atom_site_fract_z
Li1 0.0000 0.5000 0.2500
Rh1 0.0000 0.0000 0.2419
Rh2 0.2400 0.2400 0.0000
N1 0.0000 0.0000 0.5000
```

- D(E_F): 6.736 states/eV/f.u.
- Total DFT energy (no corrections): -6.312 eV per atom

---

Entry 9:
CrCuPt14 | PBE | relaxed

The structure in CIF format:
```
data_CrCuPt14
_cell_length_a 5.6066
_cell_length_b 5.6066
_cell_length_c 7.7986
_cell_angle_alpha 90.00
_cell_angle_beta 90.00
_cell_angle_gamma 90.00
_space_group_name_H-M_alt 'P 4/m m m'
_space_group_IT_number 123
_space_group_name_Hall '-P 4 2'
loop_
_atom_site_label
_atom_site_fract_x
_atom_site_fract_y
_atom_site_fract_z
Cr1 0.0000 0.0000 0.0000
Cu1 0.5000 0.5000 0.0000
Pt1 0.0000 0.0000 0.5000
Pt2 0.0000 0.5000 0.0000
Pt3 0.0000 0.5000 0.5000
Pt4 0.2488 0.2488 0.2422
Pt5 0.5000 0.5000 0.5000
```

- D(E_F): 23.643 states/eV/f.u.
- DFT formation energy: -103.9 meV per atom
- Total DFT energy (no corrections): -6.247 eV per atom

---

Entry 10:
SrReN3 | PBE | relaxed

The structure in CIF format:
```
data_SrReN3
_cell_length_a 4.2339
_cell_length_b 5.5503
_cell_length_c 7.5197
_cell_angle_alpha 69.87
_cell_angle_beta 88.30
_cell_angle_gamma 80.09
_space_group_name_H-M_alt 'P 1'
_space_group_IT_number 1
loop_
_space_group_symop_operation_xyz
'x,y,z'
loop_
_atom_site_label
_atom_site_fract_x
_atom_site_fract_y
_atom_site_fract_z
Sr1 0.0000 0.0000 0.0000
Sr2 0.4724 0.6237 0.7416
Re1 0.1352 0.3722 0.2283
Re2 0.7233 0.1080 0.4002
N1 0.0817 0.5888 0.3792
N2 0.4666 0.0943 0.2031
N3 0.4791 0.1212 0.7838
N4 0.6406 0.1225 0.6411
N5 0.9776 0.7360 0.4667
N6 0.9939 0.5400 0.9802
```

- D(E_F): 0.000 states/eV/f.u.
- Total DFT energy (no corrections): -8.046 eV per atom

---

Entry 11:
Pr2Nd8Pb | PBE | relaxed

The structure in CIF format:
```
data_Pr2Nd8Pb
_cell_length_a 5.6662
_cell_length_b 7.7932
_cell_length_c 17.7888
_cell_angle_alpha 90.00
_cell_angle_beta 90.00
_cell_angle_gamma 90.00
_space_group_name_H-M_alt 'I m m m'
_space_group_IT_number 71
_space_group_name_Hall '-I 2 2'
loop_
_atom_site_label
_atom_site_fract_x
_atom_site_fract_y
_atom_site_fract_z
Pr1 0.0000 0.0000 0.1919
Nd1 0.0000 0.2408 0.0000
Nd2 0.0000 0.2731 0.3623
Nd3 0.0000 0.5000 0.1764
Pb1 0.0000 0.0000 0.5000
```

- D(E_F): 13.664 states/eV/f.u.
- DFT formation energy: -14.9 meV per atom
- Relative energy among the computed polymorphs: 64.3 meV/atom
- Total DFT energy (no corrections): -4.689 eV per atom

---

Entry 12:
BaAlBi3 | PBE | relaxed

The structure in CIF format:
```
data_BaAlBi3
_cell_length_a 5.6191
_cell_length_b 5.6191
_cell_length_c 5.6191
_cell_angle_alpha 90.00
_cell_angle_beta 90.00
_cell_angle_gamma 90.00
_space_group_name_H-M_alt 'P m -3 m'
_space_group_IT_number 221
_space_group_name_Hall '-P 4 2 3'
loop_
_atom_site_label
_atom_site_fract_x
_atom_site_fract_y
_atom_site_fract_z
Ba1 0.0000 0.0000 0.0000
Al1 0.5000 0.5000 0.5000
Bi1 0.0000 0.5000 0.5000
```

- D(E_F): 5.041 states/eV/f.u.
- DFT formation energy: -112.3 meV per atom
- Relative energy among the computed polymorphs: 160.3 meV/atom
- Total DFT energy (no corrections): -3.574 eV per atom